(1)
Entry from Alexandria: a relaxed TbU5As6 crystal (PBE-GGA).

Formation enthalpy at 0 K = -855.1 meV/atom
DOS(E_F) = 2.375 states/eV per atom
E_tot = -8.27 eV per atom
Volume = 24.30 A^3/atom

a b c (Å): 7.1063 12.3265 7.0695
angles (deg): 90.00 109.66 90.00
Closest atoms and distances in Å follow each position.
Space group C2/m (No. 12)
Unique sites:
Tb: 0.0000 0.0000 0.0000 x2  6 As 2.90
U: 0.0000 0.1668 0.5000 x4  6 As 2.89-2.90
U: 0.0000 0.3338 0.0000 x4  6 As 2.89-2.90
U: 0.0000 0.5000 0.5000 x2  6 As 2.89-2.90
As: 0.2494 0.3328 0.7500 x8  5 U 2.89-2.90, 1 Tb 2.90
As: 0.2501 0.0000 0.7488 x4  5 U 2.89-2.90, 1 Tb 2.90

(2)
Entry from Alexandria: a relaxed Cs2RbMn crystal (PBE-GGA).

Formation enthalpy at 0 K = 811.3 meV/atom
DOS(E_F) = 2.226 states/eV per atom
E_tot = -2.15 eV per atom
Volume = 46.55 A^3/atom

a b c (Å): 9.0644 9.0644 9.0644
angles (deg): 90.00 90.00 90.00
Closest atoms and distances in Å follow each position.
Space group Fm-3m (No. 225)
Unique sites:
Cs: 0.2500 0.2500 0.2500 x8  4 Mn 3.93, 4 Rb 3.93
Rb: 0.0000 0.0000 0.0000 x4  8 Cs 3.93
Mn: 0.0000 0.0000 0.5000 x4  8 Cs 3.93

Number 2 is which compound?
Cs2RbMn